Material: Zn9Ni4Au11
Method: DFT, PBE-GGA
State: relaxed

Geometry as POSCAR:
```
Zn9Ni4Au11
1.0
-1.144 -1.877 1.890
-8.960 -1.574 -6.987
7.077 -8.173 -3.833
Au Zn Ni
11 9 4
Direct
0.000 0.813 0.187
0.000 0.235 0.235
0.000 0.187 0.813
0.000 0.405 0.067
0.000 0.765 0.765
0.000 0.631 0.369
0.000 0.000 0.000
0.000 0.067 0.405
0.000 0.369 0.631
0.000 0.933 0.595
0.000 0.595 0.933
0.500 0.844 0.396
0.500 0.604 0.156
0.500 0.500 0.500
0.500 0.204 0.024
0.500 0.396 0.844
0.500 0.796 0.976
0.500 0.156 0.604
0.500 0.976 0.796
0.500 0.024 0.204
0.500 0.566 0.721
0.500 0.721 0.566
0.500 0.434 0.279
0.500 0.279 0.434
```

## Properties
- ΔH_f (0 K) (eV/f.u.) = -2.55
- Fermi-level density of states (states/eV/atom) = 0.453

Material: RbMnGe2Br8
Method: DFT, PBE-GGA
State: relaxed

Geometry as POSCAR:
```
RbMnGe2Br8
1.0
-3.184 -7.626 -0.985
3.397 -4.121 -3.458
4.854 -1.255 7.781
Br Ge Mn Rb
8 2 1 1
Direct
0.698 0.638 0.437
0.722 0.999 0.153
0.302 0.362 0.563
0.758 0.291 0.836
0.242 0.709 0.164
0.983 0.691 0.825
0.278 0.001 0.847
0.017 0.309 0.175
0.666 0.635 0.167
0.334 0.365 0.833
0.000 0.000 0.000
0.000 0.000 0.500
```

## Properties
- E_form (uncorrected) (eV/atom) = -0.786

Material: CaTl2InPb2
Method: DFT, PBE-GGA
State: relaxed

Geometry as POSCAR:
```
CaTl2InPb2
1.0
4.909 0.000 0.000
0.000 7.371 0.000
0.000 0.000 10.056
Tl Ca In Pb
4 2 2 4
Direct
0.500 0.597 0.998
0.500 0.097 0.002
0.000 0.857 0.840
0.000 0.357 0.160
0.000 0.430 0.489
0.000 0.930 0.511
0.500 0.156 0.665
0.500 0.656 0.335
0.500 0.165 0.343
0.500 0.665 0.657
0.000 0.341 0.815
0.000 0.841 0.185
```

## Properties
- ΔH_f (0 K) (eV/f.u.) = -0.87
- Fermi-level density of states (states/eV/atom) = 0.329

| no. | E (eV per atom) |
| --- | --- |
| 1 | -3.05 |
| 2 | -3.52 |
| 3 | -2.96 |